A plane-wave DFT calculation with PBE was carried out for a relaxed TmFeHg crystal.

a b c (Å): 13.0628 3.8090 4.9918
angles (deg): 90.00 102.43 90.00
Closest atoms and distances in Å follow each position.
Space group C2/m (No. 12)
Symmetry-distinct sites (fractional):
Tm: 0.1353 0.0000 0.3320 (multiplicity 4)  4 Fe 2.71-2.98
Fe: 0.2324 0.0000 0.9034 (multiplicity 4)  2 Fe 2.14
Hg: 0.0705 0.5000 0.7847 (multiplicity 4)  3 Fe 2.71-2.81

## Properties
ΔH_f (0 K), kcal/mol of atoms: -2.5
VASP energy, eV/atom: -4.52
Magnetic moment, μB per cell: 0.0

A plane-wave DFT calculation with PBE was carried out for a relaxed Tm2FeHg crystal.

a b c (Å): 7.0510 7.0510 7.0510
angles (deg): 90.00 90.00 90.00
Closest atoms and distances in Å follow each position.
Space group Fm-3m (No. 225)
Symmetry-distinct sites (fractional):
Tm: 0.2500 0.2500 0.2500 (multiplicity 8)  4 Hg 3.05, 4 Fe 3.05
Fe: 0.0000 0.0000 0.0000 (multiplicity 4)  8 Tm 3.05
Hg: 0.0000 0.0000 0.5000 (multiplicity 4)  8 Tm 3.05

## Properties
Energy above the lowest structure with this stoichiometry, eV/f.u.: 0.43
ΔH_f (0 K), kcal/mol of atoms: -2.6
VASP energy, eV/atom: -4.54
Magnetic moment, μB per cell: 6.1

A plane-wave DFT calculation with PBE was carried out for a relaxed Tm6FeHg2 crystal.

a b c (Å): 3.7602 14.4288 8.4013
angles (deg): 90.00 90.00 90.00
Closest atoms and distances in Å follow each position.
Space group Amm2 (No. 38)
Symmetry-distinct sites (fractional):
Tm: 0.0000 0.0000 0.0000 (multiplicity 2)  2 Fe 2.70
Tm: 0.0000 0.1168 0.6427 (multiplicity 4)  2 Fe 2.74
Tm: 0.5000 0.0000 0.3611 (multiplicity 2)  4 Hg 3.18, 1 Fe 3.43, 4 Tm 3.46
Tm: 0.5000 0.1985 0.9586 (multiplicity 4)  4 Hg 3.17-3.19, 1 Fe 3.28, 4 Tm 3.44-3.46
Fe: 0.5000 0.0000 0.7690 (multiplicity 2)  6 Tm 2.70-2.74
Hg: 0.0000 0.1675 0.2608 (multiplicity 4)  9 Tm 3.17-3.29

## Properties
Energy above the lowest structure with this stoichiometry, eV/f.u.: 0.00
ΔH_f (0 K), kcal/mol of atoms: -5.1
VASP energy, eV/atom: -4.21
Magnetic moment, μB per cell: 0.8

A plane-wave DFT calculation with PBE was carried out for a relaxed Tm4FeHg crystal.

a b c (Å): 8.4839 12.3192 5.9936
angles (deg): 90.00 105.66 90.00
Closest atoms and distances in Å follow each position.
Space group C2/c (No. 15)
Symmetry-distinct sites (fractional):
Tm: 0.1039 0.1650 0.0414 (multiplicity 8)  2 Fe 2.65-2.68
Tm: 0.2192 0.4206 0.4012 (multiplicity 8)  2 Fe 2.88-2.94, 2 Hg 3.15-3.21
Fe: 0.0000 0.0014 0.2500 (multiplicity 4)  8 Tm 2.65-2.94
Hg: 0.0000 0.3716 0.7500 (multiplicity 4)  8 Tm 3.08-3.29

## Properties
ΔH_f (0 K), kcal/mol of atoms: -5.0
VASP energy, eV/atom: -4.66
Magnetic moment, μB per cell: 0.0

A plane-wave DFT calculation with PBE was carried out for a relaxed VFeHg3 crystal.

a b c (Å): 4.9691 4.9691 4.9691
angles (deg): 90.00 90.00 90.00
Closest atoms and distances in Å follow each position.
Space group Pm-3m (No. 221)
Symmetry-distinct sites (fractional):
V: 0.0000 0.0000 0.0000 (multiplicity 1)  12 Hg 3.51
Fe: 0.5000 0.5000 0.5000 (multiplicity 1)  6 Hg 2.48
Hg: 0.0000 0.5000 0.5000 (multiplicity 3)  2 Fe 2.48

## Properties
Energy above the lowest structure with this stoichiometry, eV/f.u.: 0.00
ΔH_f (0 K), kcal/mol of atoms: 21.3
VASP energy, eV/atom: -2.77
Magnetic moment, μB per cell: 5.8

A plane-wave DFT calculation with PBE was carried out for a relaxed VFeHg2 crystal.

a b c (Å): 7.3606 7.3606 5.7840
angles (deg): 90.00 90.00 90.00
Closest atoms and distances in Å follow each position.
Space group I-42d (No. 122)
Symmetry-distinct sites (fractional):
V: 0.0000 0.0000 0.0000 (multiplicity 4)  4 Hg 2.78, 2 Fe 2.89
Fe: 0.0000 0.0000 0.5000 (multiplicity 4)  4 Hg 2.62, 2 V 2.89
Hg: 0.2343 0.2500 0.6250 (multiplicity 8)  2 Fe 2.62, 2 V 2.78, 2 Hg 2.90

## Properties
Energy above the lowest structure with this stoichiometry, eV/f.u.: 1.44
ΔH_f (0 K), kcal/mol of atoms: 19.2
VASP energy, eV/atom: -3.71
Magnetic moment, μB per cell: 21.4

A plane-wave DFT calculation with PBE was carried out for a relaxed VFe3Hg crystal.

a b c (Å): 4.3184 4.3184 4.3184
angles (deg): 90.00 90.00 90.00
Closest atoms and distances in Å follow each position.
Space group Pm-3m (No. 221)
Symmetry-distinct sites (fractional):
V: 0.0000 0.0000 0.0000 (multiplicity 1)  6 Fe 2.16
Fe: 0.0000 0.0000 0.5000 (multiplicity 3)  2 V 2.16
Hg: 0.5000 0.5000 0.5000 (multiplicity 1)  12 Fe 3.05

## Properties
Energy above the lowest structure with this stoichiometry, eV/f.u.: 0.00
ΔH_f (0 K), kcal/mol of atoms: 23.5
VASP energy, eV/atom: -5.94
Magnetic moment, μB per cell: 4.5

A plane-wave DFT calculation with PBE was carried out for a relaxed VFeHg2 crystal.

a b c (Å): 6.5275 6.5275 6.5275
angles (deg): 90.00 90.00 90.00
Closest atoms and distances in Å follow each position.
Space group Fm-3m (No. 225)
Symmetry-distinct sites (fractional):
V: 0.0000 0.0000 0.0000 (multiplicity 4)  8 Hg 2.83
Fe: 0.0000 0.0000 0.5000 (multiplicity 4)  8 Hg 2.83
Hg: 0.2500 0.2500 0.2500 (multiplicity 8)  4 Fe 2.83, 4 V 2.83

## Properties
Energy above the lowest structure with this stoichiometry, eV/f.u.: 0.00
ΔH_f (0 K), kcal/mol of atoms: 10.9
VASP energy, eV/atom: -4.07
Magnetic moment, μB per cell: 1.7

A plane-wave DFT calculation with PBE was carried out for a relaxed VFe4Hg crystal.

a b c (Å): 6.8405 6.8405 6.8405
angles (deg): 90.00 90.00 90.00
Closest atoms and distances in Å follow each position.
Space group F-43m (No. 216)
Symmetry-distinct sites (fractional):
V: 0.0000 0.0000 0.0000 (multiplicity 4)  12 Fe 2.84, 4 Hg 2.96
Fe: 0.1249 0.1249 0.6249 (multiplicity 16)  6 Fe 2.42
Hg: 0.2500 0.2500 0.2500 (multiplicity 4)  12 Fe 2.84, 4 V 2.96

## Properties
ΔH_f (0 K), kcal/mol of atoms: 2.6
VASP energy, eV/atom: -7.10
Magnetic moment, μB per cell: 27.0

A plane-wave DFT calculation with PBE was carried out for a relaxed VFe3Hg crystal.

a b c (Å): 4.7898 4.7898 4.7898
angles (deg): 90.00 90.00 90.00
Closest atoms and distances in Å follow each position.
Space group Pm-3m (No. 221)
Symmetry-distinct sites (fractional):
V: 0.0000 0.0000 0.0000 (multiplicity 1)  12 Fe 3.39
Fe: 0.0000 0.5000 0.5000 (multiplicity 3)  2 Hg 2.39
Hg: 0.5000 0.5000 0.5000 (multiplicity 1)  6 Fe 2.39

## Properties
Energy above the lowest structure with this stoichiometry, eV/f.u.: 4.47
ΔH_f (0 K), kcal/mol of atoms: 44.1
VASP energy, eV/atom: -5.05
Magnetic moment, μB per cell: 12.3

A plane-wave DFT calculation with PBE was carried out for a relaxed V2FeHg crystal.

a b c (Å): 3.6560 3.6560 19.0003
angles (deg): 90.00 90.00 90.00
Closest atoms and distances in Å follow each position.
Space group I-42d (No. 122)
Symmetry-distinct sites (fractional):
V: 0.2297 0.2500 0.1250 (multiplicity 8)  4 V 2.48-2.69, 2 Fe 2.68, 2 Hg 2.73
Fe: 0.0000 0.0000 0.0000 (multiplicity 4)  4 Hg 2.59, 4 V 2.68
Hg: 0.0000 0.0000 0.5000 (multiplicity 4)  4 Fe 2.59, 4 V 2.73

## Properties
ΔH_f (0 K), kcal/mol of atoms: 17.6
VASP energy, eV/atom: -5.99
Magnetic moment, μB per cell: 7.7

A plane-wave DFT calculation with PBE was carried out for a relaxed YV2FeHg crystal.

a b c (Å): 4.9775 4.9775 4.8028
angles (deg): 90.00 90.00 90.00
Closest atoms and distances in Å follow each position.
Space group P4/mmm (No. 123)
Symmetry-distinct sites (fractional):
Y: 0.0000 0.0000 0.0000 (multiplicity 1)  8 V 3.46, 4 Fe 3.52
V: 0.0000 0.5000 0.5000 (multiplicity 2)  2 Hg 2.49
Fe: 0.5000 0.5000 0.0000 (multiplicity 1)  2 Hg 2.40
Hg: 0.5000 0.5000 0.5000 (multiplicity 1)  2 Fe 2.40, 4 V 2.49

## Properties
Energy above the lowest structure with this stoichiometry, eV/f.u.: 0.00
ΔH_f (0 K), kcal/mol of atoms: 32.6
VASP energy, eV/atom: -5.28
Magnetic moment, μB per cell: 6.5